No. 1
DFT (PBE-GGA) results for Dy2TmFeSn3Ir2 after structural relaxation.

```
Dy2TmFeSn3Ir2
1.0
3.748 0.000 0.000
0.000 6.559 3.796
0.000 -6.559 3.796
Dy Tm Fe Sn Ir
2 1 1 3 2
direct
0.000 0.204 0.796 Dy
0.000 0.796 0.204 Dy
0.000 0.390 0.390 Tm
0.000 0.795 0.795 Fe
0.500 0.054 0.054 Sn
0.500 0.539 0.796 Sn
0.500 0.796 0.539 Sn
0.500 0.132 0.462 Ir
0.500 0.462 0.132 Ir
```

***

No. 2
DFT (PBE-GGA) results for OsO3 after structural relaxation.

```
OsO3
1.0
4.908 0.000 0.000
-2.200 4.397 0.000
-0.242 -1.069 9.189
Os O
4 12
direct
0.000 0.000 0.000 Os
0.130 0.745 0.430 Os
0.544 0.840 0.707 Os
0.716 0.306 0.996 Os
0.023 0.679 0.096 O
0.094 0.050 0.372 O
0.195 0.536 0.608 O
0.366 0.956 0.873 O
0.374 0.299 0.091 O
0.392 0.689 0.330 O
0.441 0.064 0.587 O
0.693 0.636 0.882 O
0.752 0.053 0.140 O
0.785 0.426 0.386 O
0.828 0.802 0.615 O
0.945 0.223 0.840 O
```

***

It is found that the DFT total energy values, taken in the order of the records, are -6.437 -7.271 eV/atom.